Here is crystalline MoRuPb3 at its relaxed geometry from the Alexandria database. Energies are from PBE-GGA.

The energy above the most stable polymorph in this dataset is 0.0 meV per atom. The total moment is 4.0 μB/f.u. The raw total energy is -5.153 eV per atom. Its density is 9.41 Mg/m³.

Geometry as POSCAR:
```
MoRuPb3
1.0
5.2477 0.0000 0.0000
0.0000 5.2477 0.0000
0.0000 0.0000 5.2477
Mo Ru Pb
1 1 3
Direct
0.0000 0.0000 0.0000 Mo
0.5000 0.5000 0.5000 Ru
0.0000 0.5000 0.5000 Pb
0.5000 0.0000 0.5000 Pb
0.5000 0.5000 0.0000 Pb
```

---

Here is crystalline KIn4Ru at its relaxed geometry from the Alexandria database. Energies are from PBE-GGA.

The total moment is 1.0 μB/f.u. The raw total energy is -3.079 eV per atom. Its density is 6.71 Mg/m³.

Geometry as POSCAR:
```
KIn4Ru
1.0
0.0000 4.2010 4.2010
4.2010 0.0000 4.2010
4.2010 4.2010 0.0000
K In Ru
1 4 1
Direct
0.0000 0.0000 0.0000 K
0.3756 0.3756 0.3756 In
0.3756 0.3756 0.8731 In
0.3756 0.8731 0.3756 In
0.8731 0.3756 0.3756 In
0.7500 0.7500 0.7500 Ru
```

---

Here is crystalline CuPtS at its relaxed geometry from the Alexandria database. Energies are from PBE-GGA.

The energy above the most stable polymorph in this dataset is 79.4 meV per atom. The total moment is 0.0 μB/f.u. The raw total energy is -4.857 eV per atom. Its density is 9.19 Mg/m³. For the formation energy (no corrections), the calculation gives -0.10 eV per atom.

Geometry as POSCAR:
```
CuPtS
1.0
7.0113 -1.8206 0.0000
7.0113 1.8206 0.0000
-0.6949 0.0000 4.1127
Cu Pt S
2 2 2
Direct
0.0000 0.0000 0.0000 Cu
0.6972 0.6972 0.5800 Cu
0.4195 0.4195 0.5878 Pt
0.8249 0.8249 0.1746 Pt
0.2829 0.2829 0.8226 S
0.5493 0.5493 0.3011 S
```